Here is a relaxed NbMo2IrO crystal from Alexandria. Energies are from GGA+U.

- space-group type = P4/mmm, No. 123
- total DFT energy (no corrections) (eV/atom) = -6.407
- magnetic moment (μB per formula unit) = 3.7

Geometry as extended XYZ:
```
5
Lattice="5.288 0.000 0.000 0.000 3.632 0.000 0.000 0.000 5.288" Properties=species:S:1:pos:R:3 pbc="T T T"
Nb 2.644 1.816 2.644
O 0.000 1.816 0.000
Mo 2.644 0.000 0.000
Mo 0.000 0.000 2.644
Ir 0.000 0.000 0.000
```